1.
Below is crystalline RbV2Tc at its relaxed geometry, with properties calculated at the PBE-GGA level.

Unit cell a=8.3465 b=8.3465 c=8.3465 alpha=138.25 beta=138.25 gamma=60.53
With the nearest neighbours (Å) after each atom.
Fractional coordinates of all 8 atoms:
Rb  0.3750  0.6250  0.7500  8 V 3.78, 4 Tc 4.21
Rb  0.6250  0.3750  0.2500  8 V 3.78, 4 Tc 4.21
V  0.0000  0.0000  0.0000  2 Tc 2.34
V  0.0000  0.0000  0.5000  2 Tc 2.34
V  0.0000  0.5000  0.0000  2 Tc 2.34
V  0.5000  0.0000  0.5000  2 Tc 2.34
Tc  0.1250  0.8750  0.2500  4 V 2.34
Tc  0.8750  0.1250  0.7500  4 V 2.34

Formation energy ... 1.46 eV/atom
Total magnetic moment ... 1.19 μB per atom
Calculated total energy ... -5.9319 eV per atom
Volume ... 31.89 Å³/atom
E above lowest polymorph ... 0.0 meV/atom

2.
Below is crystalline AsRh3C at its relaxed geometry, with properties calculated at the PBE-GGA level.

Unit cell a=4.1112 b=4.1112 c=4.1112 alpha=90.00 beta=90.00 gamma=90.00
With the nearest neighbours (Å) after each atom.
Fractional coordinates of all 5 atoms:
As  0.0000  0.0000  0.0000  12 Rh 2.91
Rh  0.0000  0.5000  0.5000  2 C 2.06
Rh  0.5000  0.0000  0.5000  2 C 2.06
Rh  0.5000  0.5000  0.0000  2 C 2.06
C  0.5000  0.5000  0.5000  6 Rh 2.06

Formation energy ... 0.24 eV/atom
Total magnetic moment ... 0.00 μB per atom
Calculated total energy ... -6.9446 eV per atom
Volume ... 13.90 Å³/atom
E above lowest polymorph ... 0.0 meV/atom

3.
Below is crystalline LaZrCd2 at its relaxed geometry, with properties calculated at the PBE-GGA level.

Unit cell a=5.7075 b=5.7075 c=3.2285 alpha=90.00 beta=90.00 gamma=108.69
With the nearest neighbours (Å) after each atom.
Fractional coordinates of all 4 atoms:
La  0.0000  0.0000  0.0000  2 La 3.23, 8 Cd 3.28, 2 Zr 3.33
Zr  0.5000  0.5000  0.0000  2 Zr 3.23, 8 Cd 3.28, 2 La 3.33
Cd  0.0000  0.5000  0.5000  4 Cd 3.23-3.33, 4 Zr 3.28, 4 La 3.28
Cd  0.5000  0.0000  0.5000  4 Cd 3.23-3.33, 4 Zr 3.28, 4 La 3.28

Formation energy ... -0.10 eV/atom
Total magnetic moment ... 0.00 μB per atom
Calculated total energy ... -3.9242 eV per atom
Volume ... 24.91 Å³/atom
E above lowest polymorph ... 70.2 meV/atom

4.
Below is crystalline LiTiCuPd at its relaxed geometry, with properties calculated at the PBE-GGA level.

Unit cell a=4.3223 b=4.3223 c=4.3223 alpha=60.00 beta=60.00 gamma=60.00
With the nearest neighbours (Å) after each atom.
Fractional coordinates of all 4 atoms:
Li  0.0000  0.0000  0.0000  4 Cu 2.65, 4 Pd 2.65
Ti  0.5000  0.5000  0.5000  4 Cu 2.65, 4 Pd 2.65
Cu  0.2500  0.2500  0.2500  4 Li 2.65, 4 Ti 2.65
Pd  0.7500  0.7500  0.7500  4 Li 2.65, 4 Ti 2.65

Formation energy ... -0.25 eV/atom
Total magnetic moment ... 0.00 μB per atom
Calculated total energy ... -5.0281 eV per atom
Volume ... 14.28 Å³/atom

5.
Below is crystalline Zr2Mn2Hg at its relaxed geometry, with properties calculated at the PBE-GGA level.

Unit cell a=9.3007 b=9.3007 c=9.3007 alpha=160.31 beta=160.31 gamma=27.99
With the nearest neighbours (Å) after each atom.
Fractional coordinates of all 5 atoms:
Zr  0.1211  0.1211  0.0000  4 Mn 2.82, 4 Hg 3.14
Zr  0.8789  0.8789  0.0000  4 Mn 2.82, 4 Hg 3.14
Mn  0.2500  0.7500  0.5000  4 Mn 2.25
Mn  0.7500  0.2500  0.5000  4 Mn 2.25
Hg  0.5000  0.5000  0.0000  8 Zr 3.14, 4 Hg 3.18

Formation energy ... 0.15 eV/atom
Total magnetic moment ... 0.00 μB per atom
Calculated total energy ... -6.9988 eV per atom
Volume ... 18.27 Å³/atom
E above lowest polymorph ... 163.6 meV/atom

6.
Below is crystalline La2Co2Ru at its relaxed geometry, with properties calculated at the PBE-GGA level.

Unit cell a=6.8443 b=6.8443 c=4.2160 alpha=90.00 beta=90.00 gamma=90.00
With the nearest neighbours (Å) after each atom.
Fractional coordinates of all 10 atoms:
La  0.1896  0.3104  0.0000  6 Co 2.80-3.03
La  0.3104  0.8104  0.0000  6 Co 2.80-3.03
La  0.6896  0.1896  0.0000  6 Co 2.80-3.03
La  0.8104  0.6896  0.0000  6 Co 2.80-3.03
Co  0.1197  0.6197  0.5000  1 Co 2.32
Co  0.3803  0.1197  0.5000  1 Co 2.32
Co  0.6197  0.8803  0.5000  1 Co 2.32
Co  0.8803  0.3803  0.5000  1 Co 2.32
Ru  0.0000  0.0000  0.5000  4 Co 2.73
Ru  0.5000  0.5000  0.5000  4 Co 2.73

Formation energy ... 0.07 eV/atom
Total magnetic moment ... 0.35 μB per atom
Calculated total energy ... -6.6030 eV per atom
Volume ... 19.75 Å³/atom

7.
Below is crystalline Rb6H3Au2Cl at its relaxed geometry, with properties calculated at the PBE-GGA level.

Unit cell a=10.4463 b=10.4463 c=8.9804 alpha=110.71 beta=110.71 gamma=25.60
With the nearest neighbours (Å) after each atom.
Fractional coordinates of all 12 atoms:
Rb  0.0077  0.0077  0.2640  3 H 3.18, 2 Cl 3.28
Rb  0.3239  0.3239  0.8788  3 H 3.13-3.33, 1 Cl 3.35
Rb  0.3527  0.3527  0.3415  3 H 2.82-2.98
Rb  0.6473  0.6473  0.6585  3 H 2.82-2.98
Rb  0.6761  0.6761  0.1212  3 H 3.13-3.33, 1 Cl 3.35
Rb  0.9923  0.9923  0.7360  3 H 3.18, 2 Cl 3.28
H  0.1598  0.1598  0.8763  6 Rb 2.98-3.33
H  0.5000  0.5000  0.5000  2 Rb 2.82
H  0.8402  0.8402  0.1237  6 Rb 2.98-3.33
Au  0.2025  0.2025  0.4386  2 Au 2.96
Au  0.7975  0.7975  0.5614  2 Au 2.96
Cl  0.5000  0.5000  0.0000  6 Rb 3.28-3.35

Total magnetic moment ... 0.00 μB per atom
Calculated total energy ... -2.5065 eV per atom
Volume ... 32.89 Å³/atom

8.
Below is crystalline AcPd3O4 at its relaxed geometry, with properties calculated at the PBE-GGA level.

Unit cell a=6.0497 b=6.0497 c=6.0497 alpha=90.00 beta=90.00 gamma=90.00
With the nearest neighbours (Å) after each atom.
Fractional coordinates of all 16 atoms:
Ac  0.0000  0.0000  0.0000  8 O 2.62
Ac  0.5000  0.5000  0.5000  8 O 2.62
Pd  0.0000  0.2500  0.5000  4 O 2.14
Pd  0.0000  0.7500  0.5000  4 O 2.14
Pd  0.2500  0.5000  0.0000  4 O 2.14
Pd  0.5000  0.0000  0.2500  4 O 2.14
Pd  0.5000  0.0000  0.7500  4 O 2.14
Pd  0.7500  0.5000  0.0000  4 O 2.14
O  0.2500  0.2500  0.2500  3 Pd 2.14
O  0.2500  0.2500  0.7500  3 Pd 2.14
O  0.2500  0.7500  0.2500  3 Pd 2.14
O  0.2500  0.7500  0.7500  3 Pd 2.14
O  0.7500  0.2500  0.2500  3 Pd 2.14
O  0.7500  0.2500  0.7500  3 Pd 2.14
O  0.7500  0.7500  0.2500  3 Pd 2.14
O  0.7500  0.7500  0.7500  3 Pd 2.14

Total magnetic moment ... 0.00 μB per atom
Calculated total energy ... -6.2780 eV per atom
Volume ... 13.84 Å³/atom
Formation energy (no corrections) ... -1338.0 meV/atom